BeHg2Br, optimized geometry, DFT GGA-PBE; magnetization = 0.000 μB per atom; raw formation energy = 206 meV/atom; space-group type = No. 65; ΔE to the lowest computed polymorph = 1.090 eV/f.u.; V = 97 Å³/f.u.
1.0
1.7787 -3.3225 0.0000
1.7787 3.3225 0.0000
0.0000 0.0000 8.2185
Be Hg Br
1 2 1
direct
0.0000 0.0000 0.0000
0.5000 0.5000 0.2097
0.5000 0.5000 0.7903
0.0000 0.0000 0.5000